[1]
The following is a PBE calculation of an optimized crystal structure of LaNd8Tl4, from the Alexandria database.

Cell lengths 3.773, 5.501, 20.474 Å; angles 90.00, 90.00, 90.00 degrees
Fractional positions:
1 La 0.000 0.000 0.000
2 Nd 0.000 0.000 0.590
3 Nd 0.000 0.000 0.851
4 Nd 0.000 0.500 0.110
5 Nd 0.000 0.500 0.726
6 Nd 0.500 0.000 0.160
7 Nd 0.500 0.000 0.430
8 Nd 0.500 0.500 0.282
9 Nd 0.500 0.500 0.558
10 Tl 0.000 0.000 0.294
11 Tl 0.000 0.500 0.423
12 Tl 0.500 0.000 0.721
13 Tl 0.500 0.500 0.922

Values from the calculation:
The value obtained for the final energy is -4.202 eV per atom. As for the space-group type: Pmm2. For the energy relative to the elements, the calculation gives -0.161 eV/atom.

---

[2]
The following is a PBE calculation of an optimized crystal structure of B5C7, from the Alexandria database.

Cell lengths 4.551, 4.551, 4.644 Å; angles 99.04, 99.04, 120.91 degrees
Fractional positions:
1 B 0.000 0.000 0.000
2 B 0.324 0.712 0.996
3 B 0.558 0.558 0.556
4 B 0.618 0.618 0.206
5 B 0.712 0.324 0.996
6 C 0.062 0.747 0.172
7 C 0.217 0.884 0.523
8 C 0.237 0.588 0.637
9 C 0.588 0.237 0.637
10 C 0.747 0.062 0.172
11 C 0.884 0.217 0.523
12 C 0.950 0.950 0.648

Values from the calculation:
The value obtained for the final energy is -7.772 eV per atom. As for the space-group type: Cm. For the energy relative to the elements, the calculation gives 0.391 eV/atom.

---

Question: Among the records above, which one has the highest final energy?
Answer: LaNd8Tl4